Record 1
Material: Na2CaGeOs
Method: DFT, GGA-PBE
State: relaxed

Energy of formation ... 0.49 eV per atom
Space-group type ... P4/mmm
DOS at the Fermi energy ... 3.9 states/eV/cell

POSCAR file:
```
Na2CaGeOs
1.0
5.2141 0.0000 0.0000
0.0000 5.2141 0.0000
0.0000 0.0000 4.7659
Na Ca Ge Os
2 1 1 1
Direct
0.0000 0.5000 0.0000
0.5000 0.0000 0.0000
0.0000 0.0000 0.5000
0.5000 0.5000 0.0000
0.5000 0.5000 0.5000
```

---

Record 2
Material: NaCaGePb
Method: DFT, GGA-PBE
State: relaxed

Energy of formation ... -0.23 eV per atom
Space-group type ... F-43m
DOS at the Fermi energy ... 1.3 states/eV/cell

POSCAR file:
```
NaCaGePb
1.0
0.0000 3.7498 3.7498
3.7498 0.0000 3.7498
3.7498 3.7498 0.0000
Na Ca Ge Pb
1 1 1 1
Direct
0.0000 0.0000 0.0000
0.5000 0.5000 0.5000
0.2500 0.2500 0.2500
0.7500 0.7500 0.7500
```